# MnCrInO4 (PBE+U, relaxed)
# * mass density: 5.4 Mg/m³
# * final energy: -7.113 eV per atom
# * magnetic moment: 8.0 μB/f.u.
data_MnCrInO4
_chemical_formula_sum 'Mn4 Cr4 In4 O16'
_space_group_name_H-M_alt 'I m m a'
_space_group_IT_number 74
_space_group_name_Hall '-I 2b 2'
_cell_length_a 6.191
_cell_length_b 6.369
_cell_length_c 8.923
_cell_angle_alpha 90.00
_cell_angle_beta 90.00
_cell_angle_gamma 90.00
loop_
_atom_site_label
_atom_site_type_symbol
_atom_site_fract_x
_atom_site_fract_y
_atom_site_fract_z
Mn1 Mn 0.000 0.250 0.125
Cr1 Cr 0.250 0.250 0.750
In1 In 0.000 0.000 0.500
O1 O 0.000 0.033 0.747
O2 O 0.239 0.250 0.520